Entry 1:
This record from the Alexandria database describes a relaxed structure of Cs4Te5Br. The functional is GGA-PBE.

## Properties
crystal system	orthorhombic
formation energy without anion corrections	-0.80	eV per atom

Cell: 5.833 9.926 9.926 Å, 74.71 72.91 72.91°
Element x y z (fractional)
1 Te 0.567 0.560 0.806
2 Te 0.750 0.500 0.500
3 Te 0.567 0.806 0.560
4 Te 0.933 0.194 0.440
5 Te 0.933 0.440 0.194
6 Cs 0.922 0.828 0.828
7 Cs 0.250 0.705 0.295
8 Cs 0.578 0.172 0.172
9 Cs 0.250 0.295 0.705
10 Br 0.250 0.000 0.000

Entry 2:
This record from the Alexandria database describes a relaxed structure of Cd4Ag3Au2. The functional is GGA-PBE.

## Properties
crystal system	triclinic
ΔE to the lowest computed polymorph	0	meV per atom
DFT formation energy	-108.8	meV per atom

Cell: 4.344 5.056 9.006 Å, 77.58 90.77 64.36°
Element x y z (fractional)
1 Au 0.669 0.660 0.222
2 Au 0.331 0.340 0.778
3 Ag 0.000 0.000 0.000
4 Ag 0.666 0.669 0.552
5 Ag 0.334 0.331 0.448
6 Cd 0.006 0.988 0.334
7 Cd 0.335 0.330 0.113
8 Cd 0.994 0.012 0.666
9 Cd 0.665 0.670 0.887

Entry 3:
This record from the Alexandria database describes a relaxed structure of CaMgBe3. The functional is GGA-PBE.

## Properties
crystal system	cubic
ΔE to the lowest computed polymorph	884	meV per atom
DFT formation energy	1810.7	meV per atom

Cell: 5.035 5.035 5.035 Å, 90.00 90.00 90.00°
Element x y z (fractional)
1 Be 0.000 0.500 0.000
2 Be 0.000 0.000 0.500
3 Be 0.500 0.000 0.000
4 Ca 0.000 0.000 0.000
5 Mg 0.500 0.500 0.500

Entry 4:
This record from the Alexandria database describes a relaxed structure of NiWSe6. The functional is GGA-PBE.

## Properties
crystal system	triclinic
formation energy without anion corrections	-0.08	eV per atom

Cell: 6.098 6.147 6.816 Å, 58.27 56.38 58.87°
Element x y z (fractional)
1 Se 0.698 0.089 0.811
2 Se 0.430 0.808 0.684
3 Se 0.965 0.542 0.205
4 Se 0.302 0.911 0.189
5 Se 0.570 0.192 0.316
6 Se 0.035 0.458 0.795
7 W 0.500 0.500 0.500
8 Ni 0.000 0.000 0.000

Entry 5:
This record from the Alexandria database describes a relaxed structure of Pr2Y2H. The functional is GGA-PBE.

## Properties
crystal system	tetragonal
VASP energy	-5.3362	eV per atom

Cell: 5.136 5.111 5.111 Å, 90.00 90.00 90.00°
Element x y z (fractional)
1 Y 0.000 0.500 0.000
2 Y 0.000 0.000 0.500
3 Pr 0.500 0.000 0.000
4 Pr 0.500 0.500 0.500
5 H 0.000 0.000 0.000

Entry 6:
This record from the Alexandria database describes a relaxed structure of TiCuTcTe2. The functional is GGA-PBE.

## Properties
crystal system	tetragonal
formation energy without anion corrections	0.95	eV per atom

Cell: 5.255 4.697 5.255 Å, 90.00 90.00 90.00°
Element x y z (fractional)
1 Te 0.500 0.000 0.000
2 Te 0.000 0.000 0.500
3 Ti 0.000 0.000 0.000
4 Tc 0.500 0.500 0.500
5 Cu 0.000 0.500 0.000